Record 1
DFT (PBE-GGA) results for TlTe2Au after structural relaxation.

Properties
The raw formation energy is 0.146 eV/atom. The total magnetization is 0.000 μB per atom.

a b c (Å): 3.2453 3.2453 10.7762
angles (deg): 90.00 90.00 88.70
Atoms (fractional coordinates):
Te  0.0000  0.0000  0.9398
Te  0.5000  0.5000  0.2732
Tl  0.0000  0.0000  0.5400
Au  0.5000  0.5000  0.7471

Record 2
DFT (PBE-GGA) results for Ba2AlZn4Hg3 after structural relaxation.

Properties
The energy of formation from the pure elements is -0.26 eV/atom. The total magnetization is 0.000 μB per atom.

a b c (Å): 4.5638 4.5638 12.0828
angles (deg): 90.00 90.00 90.00
Atoms (fractional coordinates):
Zn  0.0000  0.5000  0.3745
Ba  0.5000  0.0000  0.2543
Ba  0.0000  0.5000  0.7457
Al  0.5000  0.5000  0.5000
Hg  0.0000  0.5000  0.1360
Hg  0.0000  0.0000  0.5000
Zn  0.5000  0.5000  0.0000
Zn  0.5000  0.0000  0.6255
Zn  0.0000  0.0000  0.0000
Hg  0.5000  0.0000  0.8640

Record 3
DFT (PBE-GGA) results for Gd2SbN after structural relaxation.

Properties
The value obtained for the polymorph energy (0 for the lowest one) is 478 meV/atom. The raw formation energy is -0.678 eV/atom. The total magnetization is 3.686 μB per atom.

a b c (Å): 3.2100 3.2100 7.7012
angles (deg): 90.00 90.00 90.00
Each line ends with the local moment (μB).
Atoms (fractional coordinates):
N  0.5000  0.5000  0.0000  -0.04
Gd  0.0000  0.0000  0.1889  7.26
Sb  0.5000  0.5000  0.5000  -0.05
Gd  0.0000  0.0000  0.8111  7.26

Record 4
DFT (PBE-GGA) results for GeSeN2 after structural relaxation.

Properties
The value obtained for the polymorph energy (0 for the lowest one) is 1876 meV/atom. The raw formation energy is 1.788 eV/atom. The total magnetization is 0.000 μB per atom.

a b c (Å): 4.0424 4.0424 4.0424
angles (deg): 60.00 60.00 60.00
Atoms (fractional coordinates):
N  0.2500  0.2500  0.2500
Se  0.5000  0.5000  0.5000
Ge  0.0000  0.0000  0.0000
N  0.7500  0.7500  0.7500